LiBS2 PBE-GGA relaxed; E_tot = -4.861 eV/atom; space-group type = Cc (9); total moment = 0.000 μB per formula unit; calculated volume = 26.18 Å³ per atom
1.0
-5.1150 2.6225 2.9694
0.7967 -6.7677 -3.0616
1.0736 -0.4039 5.8752
S B Li
4 2 2
direct
0.2216 0.7970 0.0970 S
0.9249 0.0007 0.8944 S
0.5592 0.5060 0.2816 S
0.7374 0.1847 0.6029 S
0.8366 0.0966 0.7486 B
0.8919 0.6515 0.1933 B
0.5772 0.8446 0.2523 Li
0.3882 0.1556 0.9413 Li